No. 1
A plane-wave DFT calculation with PBE was carried out for an optimized crystal structure of RbInSiF6.

The structure belongs to space group P3m1 (No. 156); the cell edges are 5.8432, 5.8432 and 5.0659 Å and the angles 90.00°, 90.00° and 120.00°. The inequivalent atoms are Rb at (0.0000, 0.0000, 0.0000), In at (0.6667, 0.3333, 0.5584), Si at (0.3333, 0.6667, 0.3517), F at (0.0530, 0.5265, 0.1588) and F at (0.1932, 0.3865, 0.5457).

As for the size of the total moment: 0.00 Bohr magnetons per cell.

No. 2
A plane-wave DFT calculation with PBE was carried out for an optimized crystal structure of Rb2In2SnF6.

The structure belongs to space group C2/m (No. 12); the cell edges are 10.5970, 6.6486 and 7.7909 Å and the angles 90.00°, 115.33° and 90.00°. The inequivalent atoms are Rb at (0.2063, 0.0000, 0.1045), In at (0.1042, 0.5000, 0.2446), Sn at (0.0000, 0.0000, 0.5000), F at (0.0533, 0.2540, 0.7502) and F at (0.2185, 0.0000, 0.4572).

As for the size of the total moment: 0.00 Bohr magnetons per cell.

No. 3
A plane-wave DFT calculation with PBE was carried out for an optimized crystal structure of RbSrInF6.

The structure belongs to space group Imma (No. 74); the cell edges are 7.9289, 7.9880 and 10.8621 Å and the angles 90.00°, 90.00° and 90.00°. The inequivalent atoms are Rb at (0.0000, 0.2500, 0.1027), Sr at (0.0000, 0.0000, 0.5000), In at (0.2500, 0.2500, 0.7500), F at (0.0000, 0.2500, 0.3807), F at (0.0000, 0.2500, 0.6710) and F at (0.2185, 0.0663, 0.8834).

As for the size of the total moment: 0.49 Bohr magnetons per cell.

No. 4
A plane-wave DFT calculation with PBE was carried out for an optimized crystal structure of RbSr2InF8.

The structure belongs to space group P2/m (No. 10); the cell edges are 4.3723, 8.1144 and 5.7655 Å and the angles 90.00°, 96.50° and 90.00°. The inequivalent atoms are Rb at (0.0000, 0.0000, 0.0000), Sr at (0.5000, 0.2520, 0.5000), In at (0.0000, 0.5000, 0.0000), F at (0.0444, 0.3041, 0.7545), F at (0.4336, 0.5000, 0.2200) and F at (0.4635, 0.0000, 0.7212).

As for the size of the total moment: 0.00 Bohr magnetons per cell.

No. 5
A plane-wave DFT calculation with PBE was carried out for an optimized crystal structure of Rb2SrInF6.

The structure belongs to space group Fm-3m (No. 225); the cell edges are 9.3914, 9.3914 and 9.3914 Å and the angles 90.00°, 90.00° and 90.00°. The inequivalent atoms are Rb at (0.2500, 0.2500, 0.2500), Sr at (0.0000, 0.0000, 0.0000), In at (0.0000, 0.0000, 0.5000) and F at (0.0000, 0.0000, 0.2552).

As for the size of the total moment: 2.77 Bohr magnetons per cell.

No. 6
A plane-wave DFT calculation with PBE was carried out for an optimized crystal structure of Rb2TaInF6.

The structure belongs to space group Fm-3m (No. 225); the cell edges are 9.4533, 9.4533 and 9.4533 Å and the angles 90.00°, 90.00° and 90.00°. The inequivalent atoms are Rb at (0.2500, 0.2500, 0.2500), Ta at (0.0000, 0.0000, 0.0000), In at (0.0000, 0.0000, 0.5000) and F at (0.0000, 0.0000, 0.2199).

As for the size of the total moment: 8.11 Bohr magnetons per cell.

No. 7
A plane-wave DFT calculation with PBE was carried out for an optimized crystal structure of RbTaIn2F8.

The structure belongs to space group P2/m (No. 10); the cell edges are 5.0312, 8.1240 and 6.7877 Å and the angles 90.00°, 94.57° and 90.00°. The inequivalent atoms are Rb at (0.0000, 0.0000, 0.0000), Ta at (0.0000, 0.5000, 0.0000), In at (0.5000, 0.2291, 0.5000), F at (0.1211, 0.3277, 0.8312), F at (0.3334, 0.5000, 0.1572) and F at (0.4304, 0.0000, 0.2910).

As for the size of the total moment: 0.00 Bohr magnetons per cell.

No. 8
A plane-wave DFT calculation with PBE was carried out for an optimized crystal structure of Rb2TbInF6.

The structure belongs to space group P2_1/c (No. 14); the cell edges are 6.6416, 6.8559 and 11.5189 Å and the angles 90.00°, 124.79° and 90.00°. The inequivalent atoms are Rb at (0.2335, 0.0440, 0.2465), Tb at (0.5000, 0.0000, 0.0000), In at (0.0000, 0.0000, 0.5000), F at (0.1889, 0.1798, 0.9584), F at (0.2629, 0.7390, 0.9362) and F at (0.3780, 0.0499, 0.7792).

As for the size of the total moment: 0.00 Bohr magnetons per cell.

No. 9
A plane-wave DFT calculation with PBE was carried out for an optimized crystal structure of Rb2InTcF6.

The structure belongs to space group I4/mmm (No. 139); the cell edges are 6.5413, 6.5413 and 9.2916 Å and the angles 90.00°, 90.00° and 90.00°. The inequivalent atoms are Rb at (0.0000, 0.5000, 0.2500), In at (0.0000, 0.0000, 0.0000), Tc at (0.0000, 0.0000, 0.5000), F at (0.0000, 0.0000, 0.2762) and F at (0.2207, 0.2207, 0.5000).

As for the size of the total moment: 4.00 Bohr magnetons per cell.

No. 10
A plane-wave DFT calculation with PBE was carried out for an optimized crystal structure of Rb2InTeF6.

The structure belongs to space group I4/mmm (No. 139); the cell edges are 7.2343, 7.2343 and 8.7198 Å and the angles 90.00°, 90.00° and 90.00°. The inequivalent atoms are Rb at (0.0000, 0.5000, 0.2500), In at (0.0000, 0.0000, 0.0000), Te at (0.0000, 0.0000, 0.5000), F at (0.0000, 0.0000, 0.2521) and F at (0.2027, 0.2027, 0.0000).

As for the size of the total moment: 2.00 Bohr magnetons per cell.

No. 11
A plane-wave DFT calculation with PBE was carried out for an optimized crystal structure of Rb2InTeF.

The structure belongs to space group P4/mmm (No. 123); the cell edges are 5.4946, 5.4946 and 5.4799 Å and the angles 90.00°, 90.00° and 90.00°. The inequivalent atoms are Rb at (0.0000, 0.5000, 0.0000), In at (0.0000, 0.0000, 0.5000), Te at (0.5000, 0.5000, 0.5000) and F at (0.0000, 0.0000, 0.0000).

As for the size of the total moment: 0.00 Bohr magnetons per cell.

No. 12
A plane-wave DFT calculation with PBE was carried out for an optimized crystal structure of RbTi2InF.

The structure belongs to space group P4/mmm (No. 123); the cell edges are 5.2031, 5.2031 and 7.6834 Å and the angles 90.00°, 90.00° and 90.00°. The inequivalent atoms are Rb at (0.0000, 0.0000, 0.0000), Ti at (0.0000, 0.5000, 0.5000), In at (0.0000, 0.0000, 0.5000) and F at (0.5000, 0.5000, 0.0000).

As for the size of the total moment: 3.03 Bohr magnetons per cell.

Number 1: DFT total energy -0.1875 hartree per atom. Number 2: DFT total energy -0.1550 hartree per atom. Number 3: DFT total energy -0.1801 hartree per atom. Number 4: DFT total energy -0.1866 hartree per atom. Number 5: DFT total energy -0.1694 hartree per atom. Number 6: DFT total energy -0.1911 hartree per atom. Number 7: DFT total energy -0.2011 hartree per atom. Number 8: DFT total energy -0.1890 hartree per atom. Number 9: DFT total energy -0.1771 hartree per atom. Number 10: DFT total energy -0.1502 hartree per atom. Number 11: DFT total energy -0.1199 hartree per atom. Number 12: DFT total energy -0.1374 hartree per atom.